[1]
Here is an optimized crystal structure of Al6Ni7 from OQMD via LeMat-Bulk. Energies are from PBE.

```
13
Lattice="2.400 1.386 8.182 -2.400 1.386 8.182 0.000 -2.772 8.182" Properties=species:S:1:pos:R:3 pbc="T T T"
Al 0.000 0.000 1.310
Al 0.000 0.000 3.913
Al 0.000 0.000 8.179
Al 0.000 0.000 16.368
Al 0.000 0.000 20.635
Al 0.000 0.000 23.238
Ni -1.202 -0.694 10.280
Ni 0.000 -1.389 14.267
Ni -1.202 0.694 14.267
Ni 0.000 0.000 12.274
Ni 1.202 -0.694 10.280
Ni 0.000 1.389 10.280
Ni 1.202 0.694 14.267
```

Computed properties:
V: 12.56 Å³ per atom
crystal system: trigonal
polymorph energy (0 for the lowest one): 0 meV/atom


[2]
Here is an optimized crystal structure of Al11Ni2 from OQMD via LeMat-Bulk. Energies are from PBE.

```
13
Lattice="2.619 1.512 8.962 -2.619 1.512 8.962 0.000 -3.024 8.962" Properties=species:S:1:pos:R:3 pbc="T T T"
Al 0.000 0.000 0.000
Al 0.000 -1.489 6.875
Al -1.289 0.744 6.875
Al 0.000 0.000 4.467
Al -1.289 -0.744 20.011
Al 0.000 0.000 12.112
Al 0.000 0.000 14.773
Al 1.289 0.744 6.875
Al 0.000 0.000 22.419
Al 1.289 -0.744 20.011
Al 0.000 1.489 20.011
Ni 0.000 0.000 8.883
Ni 0.000 0.000 18.002
```

Computed properties:
V: 16.38 Å³ per atom
crystal system: trigonal
polymorph energy (0 for the lowest one): 88 meV/atom


[3]
Here is an optimized crystal structure of Al4Ni9 from OQMD via LeMat-Bulk. Energies are from PBE.

```
13
Lattice="2.327 1.343 8.306 -2.327 1.343 8.306 0.000 -2.687 8.306" Properties=species:S:1:pos:R:3 pbc="T T T"
Al 0.000 0.000 1.240
Al 0.000 0.000 3.853
Al 0.000 0.000 21.064
Al 0.000 0.000 23.677
Ni -1.172 -0.677 10.518
Ni 0.000 0.000 8.295
Ni 0.000 -1.353 14.399
Ni -1.172 0.677 14.399
Ni 0.000 0.000 12.459
Ni 1.172 -0.677 10.518
Ni 0.000 1.353 10.518
Ni 0.000 0.000 16.622
Ni 1.172 0.677 14.399
```

Computed properties:
V: 11.98 Å³ per atom
crystal system: trigonal
polymorph energy (0 for the lowest one): 70 meV/atom


[4]
Here is an optimized crystal structure of Al5Ni8 from OQMD via LeMat-Bulk. Energies are from PBE.

```
13
Lattice="2.369 1.368 8.259 -2.369 1.368 8.259 0.000 -2.736 8.259" Properties=species:S:1:pos:R:3 pbc="T T T"
Al 0.000 0.000 0.000
Al 0.000 0.000 8.563
Al 0.000 0.000 11.141
Al 0.000 0.000 13.635
Al 0.000 0.000 16.214
Ni 0.000 -1.350 6.361
Ni -1.169 0.675 6.361
Ni 0.000 0.000 4.107
Ni -1.169 -0.675 18.416
Ni 1.169 0.675 6.361
Ni 0.000 0.000 20.669
Ni 1.169 -0.675 18.416
Ni 0.000 1.350 18.416
```

Computed properties:
V: 12.35 Å³ per atom
crystal system: trigonal
polymorph energy (0 for the lowest one): 114 meV/atom